#w
First-principles (PBE) data for a geometry-optimized TiCuIN2 structure, as listed in Alexandria via LeMat-Bulk.

The space group is P4/mmm (No. 123) and the conventional cell measures 3.894, 3.894 and 5.138 Å, with angles of 90.00, 90.00 and 90.00 degrees. The inequivalent atoms are Ti at (0.000, 0.000, 0.000), Cu at (0.500, 0.500, 0.500), I at (0.500, 0.500, 0.000) and N at (0.000, 0.500, 0.500).


#x
First-principles (PBE) data for a geometry-optimized TiCuIN2 structure, as listed in Alexandria via LeMat-Bulk.

The space group is P4/mmm (No. 123) and the conventional cell measures 3.858, 3.858 and 6.150 Å, with angles of 90.00, 90.00 and 90.00 degrees. The inequivalent atoms are Ti at (0.000, 0.000, 0.000), Cu at (0.500, 0.500, 0.500), I at (0.000, 0.000, 0.500) and N at (0.000, 0.500, 0.000).


It is #w that is the least stable of them.


#w
First-principles (PBE) data for a geometry-optimized TlCuIN2 structure, as listed in Alexandria via LeMat-Bulk.

The space group is P4/mmm (No. 123) and the conventional cell measures 4.188, 4.188 and 7.500 Å, with angles of 90.00, 90.00 and 90.00 degrees. The inequivalent atoms are Tl at (0.000, 0.000, 0.000), Cu at (0.500, 0.500, 0.500), I at (0.000, 0.000, 0.500) and N at (0.000, 0.500, 0.000).


#x
First-principles (PBE) data for a geometry-optimized TlCuIN2 structure, as listed in Alexandria via LeMat-Bulk.

The space group is P4/mmm (No. 123) and the conventional cell measures 4.328, 4.328 and 5.924 Å, with angles of 90.00, 90.00 and 90.00 degrees. The inequivalent atoms are Tl at (0.000, 0.000, 0.000), Cu at (0.500, 0.500, 0.500), I at (0.500, 0.500, 0.000) and N at (0.000, 0.500, 0.500).


It is #w that is the least stable of them.


#w
First-principles (PBE) data for a geometry-optimized VCuIN2 structure, as listed in Alexandria via LeMat-Bulk.

The space group is P4/mmm (No. 123) and the conventional cell measures 3.761, 3.761 and 5.852 Å, with angles of 90.00, 90.00 and 90.00 degrees. The inequivalent atoms are V at (0.000, 0.000, 0.000), Cu at (0.500, 0.500, 0.500), I at (0.000, 0.000, 0.500) and N at (0.000, 0.500, 0.000).


#x
First-principles (PBE) data for a geometry-optimized VCuIN2 structure, as listed in Alexandria via LeMat-Bulk.

The space group is P4/mmm (No. 123) and the conventional cell measures 3.836, 3.836 and 5.316 Å, with angles of 90.00, 90.00 and 90.00 degrees. The inequivalent atoms are V at (0.000, 0.000, 0.000), Cu at (0.500, 0.500, 0.500), I at (0.500, 0.500, 0.000) and N at (0.000, 0.500, 0.500).


It is #x that is the least stable of them.


#w
First-principles (PBE) data for a geometry-optimized ZrCuIN2 structure, as listed in Alexandria via LeMat-Bulk.

The space group is P4/mmm (No. 123) and the conventional cell measures 4.113, 4.113 and 6.315 Å, with angles of 90.00, 90.00 and 90.00 degrees. The inequivalent atoms are Zr at (0.000, 0.000, 0.000), Cu at (0.500, 0.500, 0.500), I at (0.000, 0.000, 0.500) and N at (0.000, 0.500, 0.000).


#x
First-principles (PBE) data for a geometry-optimized ZrCuIN2 structure, as listed in Alexandria via LeMat-Bulk.

The space group is P4/mmm (No. 123) and the conventional cell measures 4.044, 4.044 and 4.866 Å, with angles of 90.00, 90.00 and 90.00 degrees. The inequivalent atoms are Zr at (0.000, 0.000, 0.000), Cu at (0.500, 0.500, 0.500), I at (0.500, 0.500, 0.000) and N at (0.000, 0.500, 0.500).


It is #x that is the least stable of them.


#w
First-principles (PBE) data for a geometry-optimized NaCuI structure, as listed in Alexandria via LeMat-Bulk.

The space group is P-1 (No. 2) and the conventional cell measures 4.115, 4.912 and 8.862 Å, with angles of 84.50, 85.60 and 88.63 degrees. The inequivalent atoms are Na at (0.227, 0.213, 0.205), Cu at (0.226, 0.084, 0.558) and I at (0.286, 0.294, 0.822).


#x
First-principles (PBE) data for a geometry-optimized NaCuI structure, as listed in Alexandria via LeMat-Bulk.

The space group is Pm (No. 6) and the conventional cell measures 6.527, 4.285 and 6.554 Å, with angles of 90.00, 104.87 and 90.00 degrees. The inequivalent atoms are Na at (0.000, 0.000, 0.000), Na at (0.477, 0.000, 0.478), Cu at (0.135, 0.500, 0.342), Cu at (0.361, 0.500, 0.117), I at (0.607, 0.500, 0.870) and I at (0.976, 0.000, 0.500).


It is #w that is the least stable of them.


#w
First-principles (PBE) data for a geometry-optimized NaCuI structure, as listed in Alexandria via LeMat-Bulk.

The space group is Cm (No. 8) and the conventional cell measures 8.031, 5.894 and 5.452 Å, with angles of 90.00, 132.50 and 90.00 degrees. The inequivalent atoms are Na at (0.000, 0.000, 0.000), Cu at (0.001, 0.500, 0.752) and I at (0.001, 0.500, 0.253).


#x
First-principles (PBE) data for a geometry-optimized NaCuI structure, as listed in Alexandria via LeMat-Bulk.

The space group is P1 (No. 1) and the conventional cell measures 4.009, 6.031 and 7.506 Å, with angles of 80.87, 89.75 and 89.71 degrees. The inequivalent atoms are Na at (0.000, 0.000, 0.000), Na at (0.001, 0.368, 0.392), Cu at (0.493, 0.744, 0.275), Cu at (0.994, 0.860, 0.420), I at (0.504, 0.422, 0.063) and I at (0.505, 0.020, 0.640).


#y
First-principles (PBE) data for a geometry-optimized NaCuI structure, as listed in Alexandria via LeMat-Bulk.

The space group is Pm (No. 6) and the conventional cell measures 4.136, 4.222 and 5.049 Å, with angles of 90.00, 111.77 and 90.00 degrees. The inequivalent atoms are Na at (0.000, 0.000, 0.000), Cu at (0.371, 0.500, 0.772) and I at (0.704, 0.500, 0.366).


It is #y that is the least stable of them.


#w
First-principles (PBE) data for a geometry-optimized NaCuI structure, as listed in Alexandria via LeMat-Bulk.

The space group is Imm2 (No. 44) and the conventional cell measures 5.174, 15.337 and 4.269 Å, with angles of 90.00, 90.00 and 90.00 degrees. The inequivalent atoms are Na at (0.000, 0.126, 0.000), Cu at (0.229, 0.000, 0.499) and I at (0.000, 0.348, 0.003).


#x
First-principles (PBE) data for a geometry-optimized NaCuI structure, as listed in Alexandria via LeMat-Bulk.

The space group is P-1 (No. 2) and the conventional cell measures 4.228, 6.385 and 6.690 Å, with angles of 81.01, 89.81 and 70.70 degrees. The inequivalent atoms are Na at (0.116, 0.264, 0.218), Cu at (0.433, 0.634, 0.110) and I at (0.163, 0.177, 0.716).


It is #w that is the least stable of them.


#w
First-principles (PBE) data for a geometry-optimized Na3CuI structure, as listed in Alexandria via LeMat-Bulk.

The space group is Pm-3m (No. 221) and the conventional cell measures 5.939, 5.939 and 5.939 Å, with angles of 90.00, 90.00 and 90.00 degrees. The inequivalent atoms are Na at (0.000, 0.000, 0.500), Cu at (0.500, 0.500, 0.500) and I at (0.000, 0.000, 0.000).


#x
First-principles (PBE) data for a geometry-optimized Na3CuI structure, as listed in Alexandria via LeMat-Bulk.

The space group is Pm-3m (No. 221) and the conventional cell measures 5.537, 5.537 and 5.537 Å, with angles of 90.00, 90.00 and 90.00 degrees. The inequivalent atoms are Na at (0.000, 0.000, 0.500), Cu at (0.000, 0.000, 0.000) and I at (0.500, 0.500, 0.500).


It is #w that is the least stable of them.


#w
First-principles (PBE) data for a geometry-optimized Na2CuI3 structure, as listed in Alexandria via LeMat-Bulk.

The space group is Imm2 (No. 44) and the conventional cell measures 4.576, 14.482 and 6.963 Å, with angles of 90.00, 90.00 and 90.00 degrees. The inequivalent atoms are Na at (0.000, 0.161, 0.000), Cu at (0.000, 0.500, 0.008), I at (0.000, 0.000, 0.708) and I at (0.000, 0.349, 0.792).


#x
First-principles (PBE) data for a geometry-optimized Na2CuI3 structure, as listed in Alexandria via LeMat-Bulk.

The space group is Pnma (No. 62) and the conventional cell measures 12.669, 4.352 and 14.405 Å, with angles of 90.00, 90.00 and 90.00 degrees. The inequivalent atoms are Na at (0.000, 0.250, 0.248), Na at (0.248, 0.250, 0.476), Cu at (0.250, 0.250, 0.778), I at (0.084, 0.750, 0.390), I at (0.086, 0.250, 0.892) and I at (0.250, 0.250, 0.169).


It is #w that is the least stable of them.


#w
First-principles (PBE) data for a geometry-optimized NaCu2I3 structure, as listed in Alexandria via LeMat-Bulk.

The space group is P2_1/m (No. 11) and the conventional cell measures 7.710, 4.245 and 12.731 Å, with angles of 90.00, 104.91 and 90.00 degrees. The inequivalent atoms are Na at (0.115, 0.250, 0.307), Cu at (0.031, 0.750, 0.068), Cu at (0.085, 0.250, 0.565), I at (0.175, 0.250, 0.779), I at (0.251, 0.250, 0.102) and I at (0.267, 0.750, 0.511).


#x
First-principles (PBE) data for a geometry-optimized NaCu2I3 structure, as listed in Alexandria via LeMat-Bulk.

The space group is Cc (No. 9) and the conventional cell measures 7.831, 13.868 and 7.608 Å, with angles of 90.00, 109.14 and 90.00 degrees. The inequivalent atoms are Na at (0.000, 0.088, 0.000), Cu at (0.000, 0.417, 0.038), Cu at (0.008, 0.258, 0.541), I at (0.087, 0.421, 0.403), I at (0.147, 0.107, 0.424) and I at (0.152, 0.276, 0.907).


It is #w that is the least stable of them.


#w
First-principles (PBE) data for a geometry-optimized NaCu2I structure, as listed in Alexandria via LeMat-Bulk.

The space group is Fm-3m (No. 225) and the conventional cell measures 6.941, 6.941 and 6.941 Å, with angles of 90.00, 90.00 and 90.00 degrees. The inequivalent atoms are Na at (0.000, 0.000, 0.000), Cu at (0.250, 0.250, 0.250) and I at (0.000, 0.000, 0.500).


#x
First-principles (PBE) data for a geometry-optimized NaCu2I structure, as listed in Alexandria via LeMat-Bulk.

The space group is I-42d (No. 122) and the conventional cell measures 8.257, 8.257 and 5.636 Å, with angles of 90.00, 90.00 and 90.00 degrees. The inequivalent atoms are Na at (0.000, 0.000, 0.000), Cu at (0.207, 0.250, 0.625) and I at (0.000, 0.000, 0.500).


It is #w that is the least stable of them.


#w
First-principles (PBE) data for a geometry-optimized Na2CuI4 structure, as listed in Alexandria via LeMat-Bulk.

The space group is I4/mmm (No. 139) and the conventional cell measures 5.594, 5.594 and 15.930 Å, with angles of 90.00, 90.00 and 90.00 degrees. The inequivalent atoms are Na at (0.000, 0.000, 0.130), Cu at (0.000, 0.000, 0.500), I at (0.000, 0.000, 0.327) and I at (0.000, 0.500, 0.000).


#x
First-principles (PBE) data for a geometry-optimized Na2CuI4 structure, as listed in Alexandria via LeMat-Bulk.

The space group is P2_1/m (No. 11) and the conventional cell measures 7.876, 7.151 and 8.986 Å, with angles of 90.00, 106.43 and 90.00 degrees. The inequivalent atoms are Na at (0.232, 0.250, 0.433), Na at (0.235, 0.250, 0.936), Cu at (0.255, 0.750, 0.686), I at (0.070, 0.750, 0.885), I at (0.071, 0.750, 0.397) and I at (0.498, 0.005, 0.751).


It is #w that is the least stable of them.